Entry from Alexandria: a geometry-optimized Sr2MnPbCl8 structure (PBE).

Computed properties:
DOS at the Fermi energy	0.000	states/eV per atom
E_tot	-4.352	eV/atom
formation energy without anion corrections	-1.768	eV/atom
calculated volume	30.79	Å³/atom

Cell and atoms, written as CIF:
```
data_Sr2MnPbCl8
_cell_length_a 6.640
_cell_length_b 6.452
_cell_length_c 8.623
_cell_angle_alpha 90.00
_cell_angle_beta 90.00
_cell_angle_gamma 89.95
_symmetry_space_group_name_H-M 'P 1'
_symmetry_Int_Tables_number 1
_symmetry_space_group_name_Hall 'P 1'
loop_
_atom_site_label
_atom_site_type_symbol
_atom_site_fract_x
_atom_site_fract_y
_atom_site_fract_z
_atom_site_occupancy
Cl1 Cl 0.342 0.273 0.500 1
Sr1 Sr 0.500 0.500 0.238 1
Cl2 Cl 0.658 0.727 0.500 1
Cl3 Cl 0.842 0.210 0.779 1
Cl4 Cl 0.158 0.790 0.779 1
Sr2 Sr 0.500 0.500 0.762 1
Pb1 Pb 0.000 0.000 0.500 1
Cl5 Cl 0.158 0.790 0.221 1
Mn1 Mn 0.000 0.000 0.000 1
Cl6 Cl 0.307 0.254 0.000 1
Cl7 Cl 0.842 0.210 0.221 1
Cl8 Cl 0.693 0.746 0.000 1
```

=====

Entry from Alexandria: a geometry-optimized MnTlPbCl5 structure (PBE).

Computed properties:
DOS at the Fermi energy	0.000	states/eV per atom
E_tot	-4.160	eV/atom
formation energy without anion corrections	-1.101	eV/atom
calculated volume	33.69	Å³/atom

Cell and atoms, written as CIF:
```
data_MnTlPbCl5
_cell_length_a 7.755
_cell_length_b 7.755
_cell_length_c 10.222
_cell_angle_alpha 103.73
_cell_angle_beta 103.73
_cell_angle_gamma 107.01
_symmetry_space_group_name_H-M 'P 1'
_symmetry_Int_Tables_number 1
_symmetry_space_group_name_Hall 'P 1'
loop_
_atom_site_label
_atom_site_type_symbol
_atom_site_fract_x
_atom_site_fract_y
_atom_site_fract_z
_atom_site_occupancy
Cl1 Cl 0.901 0.099 0.750 1
Cl2 Cl 0.602 0.739 0.931 1
Cl3 Cl 0.099 0.901 0.250 1
Pb1 Pb 0.000 0.000 0.500 1
Mn1 Mn 0.317 0.683 0.750 1
Cl4 Cl 0.739 0.602 0.431 1
Cl5 Cl 0.332 0.914 0.634 1
Cl6 Cl 0.668 0.086 0.366 1
Mn2 Mn 0.683 0.317 0.250 1
Cl7 Cl 0.398 0.261 0.069 1
Cl8 Cl 0.086 0.668 0.866 1
Cl9 Cl 0.261 0.398 0.569 1
Pb2 Pb 0.000 0.000 0.000 1
Cl10 Cl 0.914 0.332 0.134 1
Tl1 Tl 0.654 0.346 0.750 1
Tl2 Tl 0.346 0.654 0.250 1
```

=====

Entry from Alexandria: a geometry-optimized MnTlPb2Cl6 structure (PBE).

Computed properties:
E_tot	-3.928	eV/atom
formation energy without anion corrections	-0.925	eV/atom
calculated volume	31.64	Å³/atom

Cell and atoms, written as CIF:
```
data_MnTlPb2Cl6
_cell_length_a 7.562
_cell_length_b 7.559
_cell_length_c 7.744
_cell_angle_alpha 60.76
_cell_angle_beta 60.75
_cell_angle_gamma 59.95
_symmetry_space_group_name_H-M 'P 1'
_symmetry_Int_Tables_number 1
_symmetry_space_group_name_Hall 'P 1'
loop_
_atom_site_label
_atom_site_type_symbol
_atom_site_fract_x
_atom_site_fract_y
_atom_site_fract_z
_atom_site_occupancy
Pb1 Pb 0.968 0.968 0.096 1
Mn1 Mn 0.336 0.336 0.991 1
Tl1 Tl 0.780 0.780 0.660 1
Pb2 Pb 0.522 0.521 0.435 1
Cl1 Cl 0.972 0.541 0.199 1
Cl2 Cl 0.363 0.711 0.745 1
Cl3 Cl 0.540 0.289 0.199 1
Cl4 Cl 0.289 0.972 0.199 1
Cl5 Cl 0.180 0.363 0.746 1
Cl6 Cl 0.712 0.180 0.746 1
```

=====

Copy entry 2 word for word.
Entry from Alexandria: a geometry-optimized MnTlPbCl5 structure (PBE).

Computed properties:
DOS at the Fermi energy	0.000	states/eV per atom
E_tot	-4.160	eV/atom
formation energy without anion corrections	-1.101	eV/atom
calculated volume	33.69	Å³/atom

Cell and atoms, written as CIF:
```
data_MnTlPbCl5
_cell_length_a 7.755
_cell_length_b 7.755
_cell_length_c 10.222
_cell_angle_alpha 103.73
_cell_angle_beta 103.73
_cell_angle_gamma 107.01
_symmetry_space_group_name_H-M 'P 1'
_symmetry_Int_Tables_number 1
_symmetry_space_group_name_Hall 'P 1'
loop_
_atom_site_label
_atom_site_type_symbol
_atom_site_fract_x
_atom_site_fract_y
_atom_site_fract_z
_atom_site_occupancy
Cl1 Cl 0.901 0.099 0.750 1
Cl2 Cl 0.602 0.739 0.931 1
Cl3 Cl 0.099 0.901 0.250 1
Pb1 Pb 0.000 0.000 0.500 1
Mn1 Mn 0.317 0.683 0.750 1
Cl4 Cl 0.739 0.602 0.431 1
Cl5 Cl 0.332 0.914 0.634 1
Cl6 Cl 0.668 0.086 0.366 1
Mn2 Mn 0.683 0.317 0.250 1
Cl7 Cl 0.398 0.261 0.069 1
Cl8 Cl 0.086 0.668 0.866 1
Cl9 Cl 0.261 0.398 0.569 1
Pb2 Pb 0.000 0.000 0.000 1
Cl10 Cl 0.914 0.332 0.134 1
Tl1 Tl 0.654 0.346 0.750 1
Tl2 Tl 0.346 0.654 0.250 1
```